No. 1
! TlPb2Cl2O2 | the Alexandria database | PBE | optimized geometry; values from VASP
! Crystal system = monoclinic
! SG = C2/m (12)
! DFT total energy = -30.18 eV per formula unit
! Uncorrected formation energy = -0.9694 eV per atom
&SYSTEM
  ibrav = 0, nat = 7, ntyp = 4
/
ATOMIC_SPECIES
Tl 204.38 Tl.upf
Pb 207.20 Pb.upf
Cl 35.45 Cl.upf
O 16.00 O.upf
ATOMIC_POSITIONS angstrom
Tl 0.000 0.000 0.000
Pb -1.154 0.000 5.122
Pb 9.957 0.000 1.560
Cl 2.892 0.000 4.561
Cl 5.911 0.000 2.121
O 2.334 0.000 0.521
O 6.469 0.000 6.161
CELL_PARAMETERS angstrom
6.692 -1.947 0.000
6.692 1.947 0.000
-4.582 0.000 6.682

No. 2
! PaNiGeRh | the Alexandria database | PBE | optimized geometry; values from VASP
! Crystal system = cubic
! SG = F-43m (216)
! DFT total energy = -29.06 eV per formula unit
! Formation energy = -1.81 eV/f.u.
&SYSTEM
  ibrav = 0, nat = 4, ntyp = 4
/
ATOMIC_SPECIES
Pa 231.04 Pa.upf
Ni 58.69 Ni.upf
Ge 72.64 Ge.upf
Rh 102.91 Rh.upf
ATOMIC_POSITIONS angstrom
Pa 0.000 0.000 0.000
Ni 1.628 1.628 1.628
Ge 3.256 3.256 3.256
Rh 4.884 4.884 4.884
CELL_PARAMETERS angstrom
0.000 3.256 3.256
3.256 0.000 3.256
3.256 3.256 0.000

> Among the records above, which one has the lowest DFT total energy?

TlPb2Cl2O2

> What is the formula in the first record?

TlPb2Cl2O2

> Which of these has the highest DFT total energy?

PaNiGeRh